# BeCo2Hg

BeCo2Hg after structural relaxation (PBE-GGA, Alexandria).

Computed properties:
Its crystal system is tetragonal. For the polymorph energy (0 for the lowest one), the calculation gives 185 meV per atom. As for the formation energy: 376 meV per atom. For the density, the calculation gives 10.6 g/cm³.

Cell lengths 3.6164, 3.6164, 7.8166 Å; angles 90.00, 90.00, 90.00 degrees
Closest atoms and distances in Å follow each position.
Element x y z (fractional)
Be: 0.0000 0.0000 0.0000  4 Hg 2.56, 8 Co 2.66
Be: 0.5000 0.5000 0.5000  4 Hg 2.56, 8 Co 2.66
Co: 0.0000 0.5000 0.2500  4 Co 2.56, 4 Hg 2.66, 4 Be 2.66
Co: 0.0000 0.5000 0.7500  4 Co 2.56, 4 Hg 2.66, 4 Be 2.66
Co: 0.5000 0.0000 0.2500  4 Co 2.56, 4 Hg 2.66, 4 Be 2.66
Co: 0.5000 0.0000 0.7500  4 Co 2.56, 4 Hg 2.66, 4 Be 2.66
Hg: 0.0000 0.0000 0.5000  4 Be 2.56, 8 Co 2.66
Hg: 0.5000 0.5000 0.0000  4 Be 2.56, 8 Co 2.66



# Be2CoHg

Be2CoHg after structural relaxation (PBE-GGA, Alexandria).

Computed properties:
Its crystal system is monoclinic. As for the formation energy: 221 meV per atom. For the density, the calculation gives 9.4 g/cm³.

Cell lengths 2.6813, 3.5719, 5.2788 Å; angles 90.00, 104.60, 90.00 degrees
Closest atoms and distances in Å follow each position.
Element x y z (fractional)
Be: 0.0000 0.0000 0.0000  2 Be 2.16, 2 Co 2.21
Be: 0.1162 0.5000 0.2379  2 Be 2.16, 4 Co 2.30
Co: 0.6693 0.0000 0.3442  6 Be 2.21-2.30
Hg: 0.3611 0.5000 0.7224  5 Be 2.47-2.65, 2 Hg 2.68



# Be2CoHg

Be2CoHg after structural relaxation (PBE-GGA, Alexandria).

Computed properties:
Its crystal system is tetragonal. As for the formation energy: 222 meV per atom. For the density, the calculation gives 9.8 g/cm³.

Cell lengths 3.8702, 3.8702, 3.1376 Å; angles 90.00, 90.00, 90.00 degrees
Closest atoms and distances in Å follow each position.
Element x y z (fractional)
Be: 0.0000 0.5000 0.0000  4 Hg 2.49, 4 Co 2.49, 4 Be 2.74
Be: 0.5000 0.0000 0.0000  4 Hg 2.49, 4 Co 2.49, 4 Be 2.74
Co: 0.0000 0.0000 0.5000  8 Be 2.49, 4 Hg 2.74
Hg: 0.5000 0.5000 0.5000  8 Be 2.49, 4 Co 2.74



# Be2CoHg

Be2CoHg after structural relaxation (PBE-GGA, Alexandria).

Computed properties:
Its crystal system is tetragonal. As for the formation energy: 76 meV per atom. For the density, the calculation gives 9.7 g/cm³.

Cell lengths 2.8640, 2.8640, 5.7692 Å; angles 90.00, 90.00, 90.00 degrees
Closest atoms and distances in Å follow each position.
Element x y z (fractional)
Be: 0.0000 0.0000 0.1823  1 Be 2.10, 4 Co 2.28
Be: 0.0000 0.0000 0.8177  1 Be 2.10, 4 Co 2.28
Co: 0.5000 0.5000 0.0000  8 Be 2.28
Hg: 0.5000 0.5000 0.5000  8 Be 2.73, 4 Hg 2.86, 2 Co 2.88



# BeCo2Hg

BeCo2Hg after structural relaxation (PBE-GGA, Alexandria).

Computed properties:
Its crystal system is orthorhombic. For the polymorph energy (0 for the lowest one), the calculation gives 177 meV per atom. As for the formation energy: 368 meV per atom. For the density, the calculation gives 10.7 g/cm³.

Cell lengths 2.9887, 4.2049, 8.0887 Å; angles 90.00, 90.00, 90.00 degrees
Closest atoms and distances in Å follow each position.
Element x y z (fractional)
Be: 0.0000 0.0000 0.0000  2 Co 2.27, 2 Hg 2.50
Be: 0.5000 0.5000 0.5000  2 Co 2.27, 2 Hg 2.50
Co: 0.0000 0.0000 0.4716  4 Co 2.58-2.86, 4 Be 2.59, 4 Hg 2.71-2.75
Co: 0.0000 0.5000 0.7114  2 Be 2.27
Co: 0.5000 0.0000 0.2114  2 Be 2.27
Co: 0.5000 0.5000 0.9716  4 Co 2.58-2.86, 4 Be 2.59, 4 Hg 2.71-2.75
Hg: 0.0000 0.5000 0.2516  2 Be 2.50, 8 Co 2.60-2.75
Hg: 0.5000 0.0000 0.7516  2 Be 2.50, 8 Co 2.60-2.75



# Be3CoHg

Be3CoHg after structural relaxation (PBE-GGA, Alexandria).

Computed properties:
Its crystal system is cubic. For the polymorph energy (0 for the lowest one), the calculation gives 0 meV per atom. As for the formation energy: 546 meV per atom. For the density, the calculation gives 7.2 g/cm³.

Cell lengths 4.0393, 4.0393, 4.0393 Å; angles 90.00, 90.00, 90.00 degrees
Closest atoms and distances in Å follow each position.
Element x y z (fractional)
Be: 0.0000 0.0000 0.5000  2 Co 2.02
Be: 0.0000 0.5000 0.0000  2 Co 2.02
Be: 0.5000 0.0000 0.0000  2 Co 2.02
Co: 0.0000 0.0000 0.0000  6 Be 2.02
Hg: 0.5000 0.5000 0.5000  12 Be 2.86



Q: What is the density in the second record?
A: 9.4 g/cm³



Q: Which formula does entry 4 have?
A: Be2CoHg



Q: Number 3 is which compound?
A: Be2CoHg